Entry 1:
DFT (PBEsol) results for a relaxed structure of Zn2ReSi.

Cell lengths 3.557, 3.557, 8.507 Å; angles 90.00, 90.00, 90.00 degrees
Space group I4/mmm (No. 139)
Symmetry-distinct sites (fractional):
Zn (0.000, 0.500, 0.250) [4 per cell]
Re (0.000, 0.000, 0.000) [2 per cell]
Si (0.000, 0.000, 0.500) [2 per cell]

Summary:
- Density of states at the Fermi level: 4.29 states/eV/cell
- Electronic total energy: -5.4858 eV/atom
- Size of the total moment: 0.09 μB per atom
- Raw formation energy: 0.075 eV/atom


Entry 2:
DFT (PBEsol) results for a relaxed structure of AgHPd3.

Cell lengths 3.965, 3.965, 3.965 Å; angles 90.00, 90.00, 90.00 degrees
Space group Pm-3m (No. 221)
Symmetry-distinct sites (fractional):
Ag (0.000, 0.000, 0.000) [1 per cell]
H (0.500, 0.500, 0.500) [1 per cell]
Pd (0.000, 0.500, 0.500) [3 per cell]

Summary:
- Density of states at the Fermi level: 3.98 states/eV/cell
- Electronic total energy: -5.0007 eV/atom
- Size of the total moment: 0.00 μB per atom


Entry 3:
DFT (PBEsol) results for a relaxed structure of Ta5Mo3.

Cell lengths 3.218, 4.497, 9.188 Å; angles 90.00, 90.00, 90.00 degrees
Space group Pmmm (No. 47)
Symmetry-distinct sites (fractional):
Ta (0.000, 0.000, 0.000) [1 per cell]
Ta (0.000, 0.000, 0.500) [1 per cell]
Ta (0.500, 0.000, 0.250) [2 per cell]
Ta (0.500, 0.500, 0.000) [1 per cell]
Mo (0.000, 0.500, 0.255) [2 per cell]
Mo (0.500, 0.500, 0.500) [1 per cell]

Summary:
- Density of states at the Fermi level: 8.29 states/eV/cell
- Polymorph energy (0 for the lowest one): 37 kJ/mol of formula units
- Energy of formation from the pure elements: -84 meV per atom
- Electronic total energy: -12.3414 eV/atom
- Size of the total moment: 0.00 μB per atom


Entry 4:
DFT (PBEsol) results for a relaxed structure of TaAsSeN2.

Cell lengths 3.975, 3.975, 5.281 Å; angles 90.00, 90.00, 90.00 degrees
Space group P4/mmm (No. 123)
Symmetry-distinct sites (fractional):
Ta (0.000, 0.000, 0.000) [1 per cell]
As (0.500, 0.500, 0.500) [1 per cell]
Se (0.000, 0.000, 0.500) [1 per cell]
N (0.000, 0.500, 0.000) [2 per cell]

Summary:
- Density of states at the Fermi level: 3.52 states/eV/cell
- Electronic total energy: -7.3836 eV/atom
- Size of the total moment: 0.00 μB per atom
- Raw formation energy: 0.329 eV/atom